SmHoCl2O2: optimized geometry, PBE.

Cell: 3.927 3.927 6.704 Å, 90.00 90.00 90.00°
Space group P4mm (No. 99)
Asymmetric unit:
Sm 0.000 0.000 0.000 x1
Ho 0.500 0.500 0.340 x1
Cl 0.000 0.000 0.547 x1
Cl 0.500 0.500 0.802 x1
O 0.000 0.500 0.179 x2

Calculated values
The total energy is -41.256 eV/cell. Its density is 6.72 g/cm3.